# TmLuScOs

A geometry-optimized TmLuScOs structure (PBE, Alexandria).

Geometry as CIF:
```
data_TmLuScOs
_cell_length_a 4.9510
_cell_length_b 4.9510
_cell_length_c 4.9510
_cell_angle_alpha 60.00
_cell_angle_beta 60.00
_cell_angle_gamma 60.00
_space_group_name_H-M_alt 'P 1'
_space_group_IT_number 1
loop_
_space_group_symop_operation_xyz
'x,y,z'
loop_
_atom_site_label
_atom_site_type_symbol
_atom_site_fract_x
_atom_site_fract_y
_atom_site_fract_z
Tm1 Tm 0.0000 0.0000 0.0000
Lu1 Lu 0.5000 0.5000 0.5000
Sc1 Sc 0.7500 0.7500 0.7500
Os1 Os 0.2500 0.2500 0.2500
```

Calculated values
DFT total energy: -26.83 eV per cell
formation energy: -70 meV/atom
SG: F-43m (216)


# YLuScOs

A geometry-optimized YLuScOs structure (PBE, Alexandria).

Geometry as CIF:
```
data_YLuScOs
_cell_length_a 4.9879
_cell_length_b 4.9879
_cell_length_c 4.9879
_cell_angle_alpha 60.00
_cell_angle_beta 60.00
_cell_angle_gamma 60.00
_space_group_name_H-M_alt 'P 1'
_space_group_IT_number 1
loop_
_space_group_symop_operation_xyz
'x,y,z'
loop_
_atom_site_label
_atom_site_type_symbol
_atom_site_fract_x
_atom_site_fract_y
_atom_site_fract_z
Y1 Y 0.0000 0.0000 0.0000
Lu1 Lu 0.5000 0.5000 0.5000
Sc1 Sc 0.7500 0.7500 0.7500
Os1 Os 0.2500 0.2500 0.2500
```

Calculated values
DFT total energy: -28.64 eV per cell
formation energy: -24 meV/atom
SG: F-43m (216)


# LuScZnOs

A geometry-optimized LuScZnOs structure (PBE, Alexandria).

Geometry as CIF:
```
data_LuScZnOs
_cell_length_a 4.7153
_cell_length_b 4.7153
_cell_length_c 4.7153
_cell_angle_alpha 60.00
_cell_angle_beta 60.00
_cell_angle_gamma 60.00
_space_group_name_H-M_alt 'P 1'
_space_group_IT_number 1
loop_
_space_group_symop_operation_xyz
'x,y,z'
loop_
_atom_site_label
_atom_site_type_symbol
_atom_site_fract_x
_atom_site_fract_y
_atom_site_fract_z
Lu1 Lu 0.0000 0.0000 0.0000
Sc1 Sc 0.5000 0.5000 0.5000
Zn1 Zn 0.2500 0.2500 0.2500
Os1 Os 0.7500 0.7500 0.7500
```

Calculated values
DFT total energy: -24.90 eV per cell
formation energy: -386 meV/atom
SG: F-43m (216)


- Number 2 is which compound?
  YLuScOs